A plane-wave DFT calculation with PBE-GGA was carried out for crystalline CaTcAu at its relaxed geometry.

Unit cell a=6.665 b=6.665 c=6.665 alpha=90.00 beta=90.00 gamma=90.00
Space group F-43m (No. 216)
Unique sites:
Ca 0.000 0.000 0.000 (multiplicity 4)
Tc 0.000 0.000 0.500 (multiplicity 4)
Au 0.250 0.250 0.250 (multiplicity 4)

## Properties
V = 296 Å³/cell
Energy relative to the elements = 0.530 eV/atom

---

A plane-wave DFT calculation with PBE-GGA was carried out for crystalline Zr6Zn5Co at its relaxed geometry.

Unit cell a=4.699 b=6.656 c=14.065 alpha=90.00 beta=90.00 gamma=90.00
Space group Immm (No. 71)
Unique sites:
Zr 0.000 0.243 0.000 (multiplicity 4)
Zr 0.000 0.255 0.337 (multiplicity 8)
Zn 0.000 0.000 0.171 (multiplicity 4)
Zn 0.000 0.000 0.500 (multiplicity 2)
Zn 0.000 0.500 0.167 (multiplicity 4)
Co 0.000 0.500 0.500 (multiplicity 2)

## Properties
V = 440 Å³/cell
Energy relative to the elements = -0.256 eV/atom

---

A plane-wave DFT calculation with PBE-GGA was carried out for crystalline Na2SrAsH at its relaxed geometry.

Unit cell a=4.458 b=11.720 c=9.046 alpha=90.00 beta=90.00 gamma=90.00
Space group Cmcm (No. 63)
Unique sites:
Na 0.000 0.173 0.064 (multiplicity 8)
Sr 0.000 0.447 0.250 (multiplicity 4)
As 0.000 0.258 0.750 (multiplicity 4)
H 0.000 0.000 0.000 (multiplicity 4)

## Properties
V = 473 Å³/cell
E = -2.9239 eV per atom

---

A plane-wave DFT calculation with PBE-GGA was carried out for crystalline AlVPd2 at its relaxed geometry.

Unit cell a=4.057 b=4.057 c=3.638 alpha=90.00 beta=90.00 gamma=90.00
Space group P4/mmm (No. 123)
Unique sites:
Al 0.000 0.000 0.000 (multiplicity 1)
V 0.500 0.500 0.000 (multiplicity 1)
Pd 0.000 0.500 0.500 (multiplicity 2)

## Properties
V = 60 Å³/cell
Energy relative to the elements = -0.402 eV/atom

---

A plane-wave DFT calculation with PBE-GGA was carried out for crystalline NaSb2TeSe at its relaxed geometry.

Unit cell a=5.455 b=5.455 c=5.277 alpha=90.00 beta=90.00 gamma=90.00
Space group P4/mmm (No. 123)
Unique sites:
Na 0.000 0.000 0.000 (multiplicity 1)
Sb 0.000 0.500 0.000 (multiplicity 2)
Te 0.000 0.000 0.500 (multiplicity 1)
Se 0.500 0.500 0.500 (multiplicity 1)

## Properties
V = 157 Å³/cell
Energy relative to the elements, uncorrected = 867.9 meV per atom

---

A plane-wave DFT calculation with PBE-GGA was carried out for crystalline LaSb2PtRh5 at its relaxed geometry.

Unit cell a=4.027 b=4.027 c=11.752 alpha=90.00 beta=90.00 gamma=90.00
Space group P4/mmm (No. 123)
Unique sites:
La 0.000 0.000 0.000 (multiplicity 1)
Sb 0.500 0.500 0.220 (multiplicity 2)
Pt 0.000 0.000 0.500 (multiplicity 1)
Rh 0.000 0.500 0.357 (multiplicity 4)
Rh 0.500 0.500 0.000 (multiplicity 1)

## Properties
V = 191 Å³/cell
Energy relative to the elements, uncorrected = -266.8 meV per atom

---

A plane-wave DFT calculation with PBE-GGA was carried out for crystalline RbCdPt at its relaxed geometry.

Unit cell a=3.823 b=3.823 c=12.290 alpha=90.00 beta=90.00 gamma=90.00
Space group I4mm (No. 107)
Unique sites:
Rb 0.000 0.000 0.000 (multiplicity 2)
Cd 0.000 0.000 0.264 (multiplicity 2)
Pt 0.000 0.000 0.732 (multiplicity 2)

## Properties
V = 180 Å³/cell
Energy relative to the elements = -0.067 eV/atom

---

A plane-wave DFT calculation with PBE-GGA was carried out for crystalline Al5Hg at its relaxed geometry.

Unit cell a=2.920 b=2.920 c=12.647 alpha=90.00 beta=90.00 gamma=90.00
Space group P4/mmm (No. 123)
Unique sites:
Al 0.000 0.000 0.000 (multiplicity 1)
Al 0.000 0.000 0.313 (multiplicity 2)
Al 0.500 0.500 0.154 (multiplicity 2)
Hg 0.500 0.500 0.500 (multiplicity 1)

## Properties
V = 108 Å³/cell
Energy relative to the elements = 0.088 eV/atom

---

A plane-wave DFT calculation with PBE-GGA was carried out for crystalline Mg4Re at its relaxed geometry.

Unit cell a=5.069 b=5.069 c=5.069 alpha=90.00 beta=90.00 gamma=90.00
Space group Pm-3m (No. 221)
Unique sites:
Mg 0.000 0.000 0.000 (multiplicity 1)
Mg 0.000 0.500 0.500 (multiplicity 3)
Re 0.500 0.500 0.500 (multiplicity 1)

## Properties
V = 130 Å³/cell
Energy relative to the elements = 0.887 eV/atom

---

A plane-wave DFT calculation with PBE-GGA was carried out for crystalline Tm3ZrRu4 at its relaxed geometry.

Unit cell a=4.7195 b=4.7195 c=23.0385 alpha=90.00 beta=90.00 gamma=120.00
Space group R-3m (No. 166, hexagonal axes)
Unique sites:
Tm 0.0000 0.0000 0.0000 (multiplicity 3)
Tm 0.0000 0.0000 0.2500 (multiplicity 6)
Zr 0.0000 0.0000 0.5000 (multiplicity 3)
Ru 0.0000 0.0000 0.1275 (multiplicity 6)
Ru 0.0000 0.0000 0.3780 (multiplicity 6)

## Properties
V = 444 Å³/cell
Energy relative to the elements = -0.492 eV/atom

---

A plane-wave DFT calculation with PBE-GGA was carried out for crystalline Tb3Tl4AgTe8 at its relaxed geometry.

Unit cell a=8.8977 b=8.8977 c=23.7212 alpha=90.00 beta=90.00 gamma=120.00
Space group R-3m (No. 166, hexagonal axes)
Unique sites:
Tb 0.0000 0.5000 0.0000 (multiplicity 9)
Tl 0.0000 0.0000 0.5000 (multiplicity 3)
Tl 0.0000 0.5000 0.5000 (multiplicity 9)
Ag 0.0000 0.0000 0.0000 (multiplicity 3)
Te 0.0000 0.0000 0.2601 (multiplicity 6)
Te 0.0029 0.5014 0.7389 (multiplicity 18)

## Properties
V = 1627 Å³/cell
Energy relative to the elements, uncorrected = -773.6 meV per atom

---

A plane-wave DFT calculation with PBE-GGA was carried out for crystalline Cs2SnI5 at its relaxed geometry.

Unit cell a=8.844 b=8.844 c=11.122 alpha=90.00 beta=90.00 gamma=90.00
Space group I4mm (No. 107)
Unique sites:
Cs 0.000 0.500 0.000 (multiplicity 4)
Sn 0.000 0.000 0.282 (multiplicity 2)
I 0.000 0.000 0.535 (multiplicity 2)
I 0.239 0.239 0.246 (multiplicity 8)

## Properties
V = 870 Å³/cell
Energy relative to the elements, uncorrected = -962.6 meV per atom

---

A plane-wave DFT calculation with PBE-GGA was carried out for crystalline AlTeW at its relaxed geometry.

Unit cell a=6.383 b=6.383 c=6.383 alpha=90.00 beta=90.00 gamma=90.00
Space group F-43m (No. 216)
Unique sites:
Al 0.000 0.000 0.000 (multiplicity 4)
Te 0.000 0.000 0.500 (multiplicity 4)
W 0.250 0.250 0.750 (multiplicity 4)

## Properties
V = 260 Å³/cell
Energy relative to the elements, uncorrected = 749.7 meV per atom

---

A plane-wave DFT calculation with PBE-GGA was carried out for crystalline FeH2Pd2 at its relaxed geometry.

Unit cell a=6.009 b=6.009 c=2.857 alpha=90.00 beta=90.00 gamma=90.00
Space group P4/mbm (No. 127)
Unique sites:
Fe 0.000 0.000 0.000 (multiplicity 2)
H 0.206 0.294 0.000 (multiplicity 4)
Pd 0.168 0.668 0.500 (multiplicity 4)

## Properties
V = 103 Å³/cell
E = -4.9993 eV per atom

---

A plane-wave DFT calculation with PBE-GGA was carried out for crystalline Ti4ZnO9 at its relaxed geometry.

Unit cell a=8.525 b=8.525 c=5.007 alpha=90.00 beta=90.00 gamma=90.00
Space group P4/n (No. 85, origin choice 2)
Unique sites:
Ti 0.030 0.839 0.120 (multiplicity 8)
Zn 0.250 0.250 0.469 (multiplicity 2)
O 0.023 0.184 0.553 (multiplicity 8)
O 0.040 0.358 0.029 (multiplicity 8)
O 0.250 0.750 0.000 (multiplicity 2)

## Properties
V = 364 Å³/cell
Energy relative to the elements, uncorrected = -2642.5 meV per atom

---

A plane-wave DFT calculation with PBE-GGA was carried out for crystalline Cs3BeF at its relaxed geometry.

Unit cell a=6.028 b=6.028 c=6.028 alpha=90.00 beta=90.00 gamma=90.00
Space group Pm-3m (No. 221)
Unique sites:
Cs 0.000 0.000 0.500 (multiplicity 3)
Be 0.500 0.500 0.500 (multiplicity 1)
F 0.000 0.000 0.000 (multiplicity 1)

## Properties
V = 219 Å³/cell
Energy relative to the elements, uncorrected = -541.6 meV per atom

---

A plane-wave DFT calculation with PBE-GGA was carried out for crystalline NaInSb at its relaxed geometry.

Unit cell a=5.3528 b=5.3528 c=3.3155 alpha=90.00 beta=90.00 gamma=120.00
Space group P3m1 (No. 156)
Unique sites:
Na 0.0000 0.0000 0.0000 (multiplicity 1)
In 0.3333 0.6667 0.5010 (multiplicity 1)
Sb 0.6667 0.3333 0.4967 (multiplicity 1)

## Properties
V = 82 Å³/cell
Energy relative to the elements, uncorrected = -170.8 meV per atom

---

A plane-wave DFT calculation with PBE-GGA was carried out for crystalline Hf4Cd at its relaxed geometry.

Unit cell a=4.810 b=6.156 c=14.772 alpha=90.00 beta=90.00 gamma=90.00
Space group Imma (No. 74)
Unique sites:
Hf 0.000 0.000 0.000 (multiplicity 4)
Hf 0.000 0.003 0.198 (multiplicity 8)
Hf 0.000 0.250 0.394 (multiplicity 4)
Cd 0.000 0.250 0.606 (multiplicity 4)

## Properties
V = 437 Å³/cell
Energy relative to the elements = 0.156 eV/atom

---

A plane-wave DFT calculation with PBE-GGA was carried out for crystalline Ba3TbCd2O6 at its relaxed geometry.

Unit cell a=6.3440 b=6.3440 c=7.0282 alpha=90.00 beta=90.00 gamma=120.00
Space group P-3m1 (No. 164)
Unique sites:
Ba 0.0000 0.0000 0.0000 (multiplicity 1)
Ba 0.3333 0.6667 0.6134 (multiplicity 2)
Tb 0.0000 0.0000 0.5000 (multiplicity 1)
Cd 0.3333 0.6667 0.1463 (multiplicity 2)
O 0.1646 0.3292 0.3079 (multiplicity 6)

## Properties
V = 245 Å³/cell
Energy relative to the elements, uncorrected = -2067.1 meV per atom

---

A plane-wave DFT calculation with PBE-GGA was carried out for crystalline CeTm2NpP4 at its relaxed geometry.

Unit cell a=6.903 b=3.983 c=6.904 alpha=90.00 beta=109.50 gamma=90.00
Space group P2/m (No. 10)
Unique sites:
Ce 0.000 0.000 0.000 (multiplicity 1)
Tm 0.000 0.500 0.500 (multiplicity 1)
Tm 0.500 0.000 0.500 (multiplicity 1)
Np 0.500 0.500 0.000 (multiplicity 1)
P 0.254 0.000 0.748 (multiplicity 2)
P 0.255 0.500 0.255 (multiplicity 2)

## Properties
V = 179 Å³/cell
Energy relative to the elements = -1.386 eV/atom

---

A plane-wave DFT calculation with PBE-GGA was carried out for crystalline InCo2Te at its relaxed geometry.

Unit cell a=4.390 b=4.390 c=16.417 alpha=90.00 beta=90.00 gamma=90.00
Space group I-42d (No. 122)
Unique sites:
In 0.000 0.000 0.000 (multiplicity 4)
Co 0.176 0.250 0.625 (multiplicity 8)
Te 0.000 0.000 0.500 (multiplicity 4)

## Properties
V = 316 Å³/cell
Energy relative to the elements, uncorrected = 440.2 meV per atom

---

A plane-wave DFT calculation with PBE-GGA was carried out for crystalline Ho2TaC at its relaxed geometry.

Unit cell a=3.3405 b=3.3405 c=26.7248 alpha=90.00 beta=90.00 gamma=120.00
Space group R-3m (No. 166, hexagonal axes)
Unique sites:
Ho 0.0000 0.0000 0.1153 (multiplicity 6)
Ta 0.0000 0.0000 0.0000 (multiplicity 3)
C 0.0000 0.0000 0.5000 (multiplicity 3)

## Properties
V = 258 Å³/cell
Energy relative to the elements = 0.428 eV/atom

---

A plane-wave DFT calculation with PBE-GGA was carried out for crystalline NiHg4 at its relaxed geometry.

Unit cell a=6.193 b=6.193 c=6.193 alpha=90.00 beta=90.00 gamma=90.00
Space group Im-3m (No. 229)
Unique sites:
Ni 0.000 0.000 0.000 (multiplicity 2)
Hg 0.250 0.250 0.250 (multiplicity 8)

## Properties
V = 238 Å³/cell
Energy relative to the elements = 0.019 eV/atom

---

A plane-wave DFT calculation with PBE-GGA was carried out for crystalline RbIBrCl at its relaxed geometry.

Unit cell a=8.224 b=8.224 c=8.224 alpha=90.00 beta=90.00 gamma=90.00
Space group F-43m (No. 216)
Unique sites:
Rb 0.000 0.000 0.000 (multiplicity 4)
I 0.000 0.000 0.500 (multiplicity 4)
Br 0.250 0.250 0.250 (multiplicity 4)
Cl 0.250 0.250 0.750 (multiplicity 4)

## Properties
V = 556 Å³/cell
Energy relative to the elements, uncorrected = -595.8 meV per atom